[1]
This record from the Alexandria database describes a relaxed structure of Hg3SbBr. The functional is PBEsol.

Calculated volume, A^3/atom: 33.5
ΔE_f (raw), eV per atom: 0.006
Raw total energy, eV per cell: -8.1

abc: 5.514 5.514 5.514
angles: 90.00 90.00 90.00
Space group Pm-3m (No. 221)
Symmetry-distinct sites (fractional):
1 Hg 0.000 0.000 0.500 (multiplicity 3)
2 Sb 0.000 0.000 0.000 (multiplicity 1)
3 Br 0.500 0.500 0.500 (multiplicity 1)



[2]
This record from the Alexandria database describes a relaxed structure of Zr2AlH2. The functional is PBEsol.

Calculated volume, A^3/atom: 12.9
Raw total energy, eV per cell: -62.7

abc: 3.696 3.696 9.413
angles: 90.00 90.00 90.00
Space group I4/mmm (No. 139)
Symmetry-distinct sites (fractional):
1 Zr 0.000 0.000 0.159 (multiplicity 4)
2 Al 0.000 0.000 0.500 (multiplicity 2)
3 H 0.000 0.500 0.250 (multiplicity 4)



[3]
This record from the Alexandria database describes a relaxed structure of SrBe2ReI. The functional is PBEsol.

Calculated volume, A^3/atom: 24.6
ΔE_f (raw), eV per atom: 0.887
Raw total energy, eV per cell: -20.5

abc: 4.516 4.516 6.026
angles: 90.00 90.00 90.00
Space group P4/mmm (No. 123)
Symmetry-distinct sites (fractional):
1 Sr 0.000 0.000 0.000 (multiplicity 1)
2 Be 0.000 0.500 0.500 (multiplicity 2)
3 Re 0.000 0.000 0.500 (multiplicity 1)
4 I 0.500 0.500 0.000 (multiplicity 1)



[4]
This record from the Alexandria database describes a relaxed structure of BaY2GaAs. The functional is PBEsol.

Calculated volume, A^3/atom: 31.4
Energy relative to the elements, eV/atom: 0.027
Raw total energy, eV per cell: -24.1

abc: 5.404 5.404 5.367
angles: 90.00 90.00 90.00
Space group P4/mmm (No. 123)
Symmetry-distinct sites (fractional):
1 Ba 0.000 0.000 0.000 (multiplicity 1)
2 Y 0.000 0.500 0.500 (multiplicity 2)
3 Ga 0.500 0.500 0.500 (multiplicity 1)
4 As 0.500 0.500 0.000 (multiplicity 1)



[5]
This record from the Alexandria database describes a relaxed structure of La2Ge5Rh3. The functional is PBEsol.

Calculated volume, A^3/atom: 18.3
Energy relative to the elements, eV/atom: -0.884
Raw total energy, eV per cell: -274.6

abc: 10.108 12.075 5.999
angles: 90.00 90.00 90.00
Space group Ibam (No. 72)
Symmetry-distinct sites (fractional):
1 La 0.232 0.133 0.000 (multiplicity 8)
2 Ge 0.000 0.000 0.250 (multiplicity 4)
3 Ge 0.000 0.276 0.250 (multiplicity 8)
4 Ge 0.158 0.400 0.000 (multiplicity 8)
5 Rh 0.000 0.500 0.250 (multiplicity 4)
6 Rh 0.108 0.140 0.500 (multiplicity 8)



[6]
This record from the Alexandria database describes a relaxed structure of Sr2MgZn. The functional is PBEsol.

Calculated volume, A^3/atom: 31.4
Polymorph energy (0 for the lowest one), eV per atom: 0.0000
Energy relative to the elements, eV/atom: -0.103
Raw total energy, eV per cell: -7.4

abc: 3.931 3.931 8.121
angles: 90.00 90.00 90.00
Space group P4/mmm (No. 123)
Symmetry-distinct sites (fractional):
1 Sr 0.000 0.000 0.226 (multiplicity 2)
2 Mg 0.500 0.500 0.500 (multiplicity 1)
3 Zn 0.500 0.500 0.000 (multiplicity 1)



[7]
This record from the Alexandria database describes a relaxed structure of IrRuRh2. The functional is PBEsol.

Calculated volume, A^3/atom: 13.6
Polymorph energy (0 for the lowest one), eV per atom: 0.0000
Energy relative to the elements, eV/atom: -0.017
Raw total energy, eV per cell: -36.3

abc: 2.676 3.783 5.357
angles: 90.00 90.00 90.00
Space group Pmm2 (No. 25)
Symmetry-distinct sites (fractional):
1 Ir 0.000 0.000 0.000 (multiplicity 1)
2 Ru 0.500 0.500 0.755 (multiplicity 1)
3 Rh 0.000 0.000 0.506 (multiplicity 1)
4 Rh 0.500 0.500 0.255 (multiplicity 1)



[8]
This record from the Alexandria database describes a relaxed structure of Sr2LaTl. The functional is PBEsol.

Calculated volume, A^3/atom: 39.3
Polymorph energy (0 for the lowest one), eV per atom: 0.0000
Energy relative to the elements, eV/atom: -0.174
Raw total energy, eV per cell: -12.4

abc: 3.977 3.977 9.938
angles: 90.00 90.00 90.00
Space group P4mm (No. 99)
Symmetry-distinct sites (fractional):
1 Sr 0.000 0.000 0.000 (multiplicity 1)
2 Sr 0.500 0.500 0.327 (multiplicity 1)
3 La 0.500 0.500 0.712 (multiplicity 1)
4 Tl 0.000 0.000 0.533 (multiplicity 1)



[9]
This record from the Alexandria database describes a relaxed structure of GaGeSN2. The functional is PBEsol.

Calculated volume, A^3/atom: 14.3
ΔE_f (raw), eV per atom: 0.837
Raw total energy, eV per cell: -25.5

abc: 3.634 3.634 5.425
angles: 90.00 90.00 90.00
Space group P4/mmm (No. 123)
Symmetry-distinct sites (fractional):
1 Ga 0.000 0.000 0.000 (multiplicity 1)
2 Ge 0.500 0.500 0.500 (multiplicity 1)
3 S 0.500 0.500 0.000 (multiplicity 1)
4 N 0.000 0.500 0.500 (multiplicity 2)



[10]
This record from the Alexandria database describes a relaxed structure of InNi2Bi2. The functional is PBEsol.

Calculated volume, A^3/atom: 21.7
Energy relative to the elements, eV/atom: 0.090
Raw total energy, eV per cell: -46.8

abc: 3.511 3.511 17.609
angles: 90.00 90.00 90.00
Space group I4/mmm (No. 139)
Symmetry-distinct sites (fractional):
1 In 0.000 0.000 0.000 (multiplicity 2)
2 Ni 0.000 0.500 0.250 (multiplicity 4)
3 Bi 0.000 0.000 0.363 (multiplicity 4)



[11]
This record from the Alexandria database describes a relaxed structure of DyScRu2. The functional is PBEsol.

Calculated volume, A^3/atom: 17.2
Energy relative to the elements, eV/atom: -0.366
Raw total energy, eV per cell: -133.6

abc: 6.501 6.501 6.501
angles: 90.00 90.00 90.00
Space group Fm-3m (No. 225)
Symmetry-distinct sites (fractional):
1 Dy 0.000 0.000 0.000 (multiplicity 4)
2 Sc 0.000 0.000 0.500 (multiplicity 4)
3 Ru 0.250 0.250 0.250 (multiplicity 8)



[12]
This record from the Alexandria database describes a relaxed structure of MgSc2In. The functional is PBEsol.

Calculated volume, A^3/atom: 21.7
Polymorph energy (0 for the lowest one), eV per atom: 0.0000
Energy relative to the elements, eV/atom: -0.332
Raw total energy, eV per cell: -77.0

abc: 7.026 7.026 7.026
angles: 90.00 90.00 90.00
Space group Fm-3m (No. 225)
Symmetry-distinct sites (fractional):
1 Mg 0.000 0.000 0.000 (multiplicity 4)
2 Sc 0.250 0.250 0.250 (multiplicity 8)
3 In 0.000 0.000 0.500 (multiplicity 4)